1.
Below is SrMn2RuF at its PBEsol-relaxed geometry, with properties calculated at the meta-GGA SCAN level.

Calculated values
Its electronic total energy is -97.73 eV for the cell shown. The uncorrected formation energy comes out at -115 meV/atom. As for the total magnetization: 8.3 Bohr magnetons per cell. The calculation puts the calculated volume at 19.87 Å³ per atom. The density of states at the Fermi level comes out at 3.61 states/eV/cell. Its density is 5.31 g cm⁻³.

abc: 4.6158 4.6397 4.6397
angles: 90.00 90.00 90.00
Site moments in Bohr magnetons follow the coordinates.
Sites, in units of the cell vectors:
F 0.5000 0.0000 0.0000  0.02
Mn 0.0000 0.0000 0.5000  4.02
Mn 0.0000 0.5000 0.0000  4.02
Ru 0.0000 0.0000 0.0000  -0.13
Sr 0.5000 0.5000 0.5000  -0.02

2.
Below is MnSF2 at its PBEsol-relaxed geometry, with properties calculated at the meta-GGA SCAN level.

Calculated values
Its electronic total energy is -41.06 eV for the cell shown. The uncorrected formation energy comes out at -1525 meV/atom. As for the total magnetization: 5.4 Bohr magnetons per cell. The calculation puts the calculated volume at 18.22 Å³ per atom. The density of states at the Fermi level comes out at 3.44 states/eV/cell. Its density is 2.85 g cm⁻³.

abc: 3.0171 3.0171 9.4098
angles: 80.77 80.77 60.00
Site moments in Bohr magnetons follow the coordinates.
Sites, in units of the cell vectors:
F 0.8734 0.8734 0.3798  0.11
F 0.1266 0.1266 0.6202  0.11
Mn 0.5000 0.5000 0.5000  4.59
S 0.0000 0.0000 0.0000  0.29

3.
Below is MnSb2F12 at its PBEsol-relaxed geometry, with properties calculated at the meta-GGA SCAN level.

Calculated values
Its electronic total energy is -172.69 eV for the cell shown. The uncorrected formation energy comes out at -2495 meV/atom. As for the total magnetization: 5.0 Bohr magnetons per cell. The calculation puts the calculated volume at 14.29 Å³ per atom. The density of states at the Fermi level comes out at 0.00 states/eV/cell. Its density is 4.08 g cm⁻³.

abc: 5.1602 5.5382 8.8561
angles: 74.08 89.09 62.65
Site moments in Bohr magnetons follow the coordinates.
Sites, in units of the cell vectors:
F 0.0330 0.7555 0.1337  0.00
F 0.4775 0.2324 0.0626  0.01
F 0.4757 0.7744 0.6283  0.02
F 0.9547 0.2383 0.2096  0.00
F 0.9670 0.2445 0.8663  0.00
F 0.9525 0.2414 0.5684  0.02
F 0.5243 0.2256 0.3717  0.02
F 0.0475 0.7586 0.4316  0.02
F 0.5225 0.7676 0.9374  0.01
F 0.5865 0.7640 0.3093  0.02
F 0.4135 0.2360 0.6907  0.02
F 0.0453 0.7617 0.7904  0.00
Mn 0.5000 0.5000 0.5000  4.63
Sb 0.7710 0.0079 0.2357  0.02
Sb 0.2290 0.9921 0.7643  0.02

4.
Below is MnSbF2 at its PBEsol-relaxed geometry, with properties calculated at the meta-GGA SCAN level.

Calculated values
Its electronic total energy is -70.12 eV for the cell shown. The uncorrected formation energy comes out at -1880 meV/atom. As for the total magnetization: 5.0 Bohr magnetons per cell. The calculation puts the calculated volume at 20.14 Å³ per atom. The calculation puts the energy relative to the lowest polymorph listed for this composition at 0.0 meV per atom. The density of states at the Fermi level comes out at 0.74 states/eV/cell. Its density is 4.42 g cm⁻³.

abc: 3.2009 3.2009 9.2660
angles: 80.05 80.05 60.00
Site moments in Bohr magnetons follow the coordinates.
Sites, in units of the cell vectors:
F 0.1296 0.1296 0.6111  0.09
F 0.8704 0.8704 0.3889  0.09
Sb 0.0000 0.0000 0.0000  0.00
Mn 0.5000 0.5000 0.5000  4.63

5.
Below is Mn3SbF at its PBEsol-relaxed geometry, with properties calculated at the meta-GGA SCAN level.

Calculated values
Its electronic total energy is -97.61 eV for the cell shown. The uncorrected formation energy comes out at -409 meV/atom. As for the total magnetization: 12.8 Bohr magnetons per cell. The calculation puts the calculated volume at 15.54 Å³ per atom. The density of states at the Fermi level comes out at 3.91 states/eV/cell. Its density is 6.53 g cm⁻³.

abc: 4.2668 4.2668 4.2668
angles: 90.00 90.00 90.00
Site moments in Bohr magnetons follow the coordinates.
Sites, in units of the cell vectors:
F 0.0000 0.0000 0.0000  0.15
Mn 0.5000 0.0000 0.0000  4.05
Mn 0.0000 0.0000 0.5000  4.05
Mn 0.0000 0.5000 0.0000  4.05
Sb 0.5000 0.5000 0.5000  0.03

6.
Below is MnSb2F at its PBEsol-relaxed geometry, with properties calculated at the meta-GGA SCAN level.

Calculated values
Its electronic total energy is -196.31 eV for the cell shown. The uncorrected formation energy comes out at -460 meV/atom. As for the total magnetization: 8.3 Bohr magnetons per cell. The calculation puts the calculated volume at 20.85 Å³ per atom. The density of states at the Fermi level comes out at 2.57 states/eV/cell. Its density is 6.32 g cm⁻³.

abc: 4.2400 4.2400 9.7517
angles: 102.56 102.56 90.00
Site moments in Bohr magnetons follow the coordinates.
Sites, in units of the cell vectors:
Mn 0.2500 0.7500 0.5000  4.18
Mn 0.0000 0.0000 0.0000  4.18
Sb 0.3693 0.8750 0.2500  -0.08
Sb 0.1250 0.1193 0.7500  -0.08
Sb 0.8807 0.3750 0.2500  -0.08
Sb 0.6250 0.6307 0.7500  -0.08
F 0.5000 0.5000 0.0000  -0.01
F 0.7500 0.2500 0.5000  -0.01

7.
Below is MnTc2SbF at its PBEsol-relaxed geometry, with properties calculated at the meta-GGA SCAN level.

Calculated values
Its electronic total energy is -122.40 eV for the cell shown. The uncorrected formation energy comes out at 1355 meV/atom. As for the total magnetization: 10.8 Bohr magnetons per cell. The calculation puts the calculated volume at 25.04 Å³ per atom. The density of states at the Fermi level comes out at 3.75 states/eV/cell. Its density is 5.19 g cm⁻³.

abc: 4.9673 4.9673 5.0750
angles: 90.00 90.00 90.00
Site moments in Bohr magnetons follow the coordinates.
Sites, in units of the cell vectors:
Mn 0.0000 0.0000 0.5000  4.41
F 0.5000 0.5000 0.5000  0.19
Tc 0.5000 0.0000 0.0000  2.64
Tc 0.0000 0.5000 0.0000  2.64
Sb 0.0000 0.0000 0.0000  -0.08

8.
Below is MnSb2TeF at its PBEsol-relaxed geometry, with properties calculated at the meta-GGA SCAN level.

Calculated values
Its electronic total energy is -133.88 eV for the cell shown. The uncorrected formation energy comes out at -63 meV/atom. As for the total magnetization: 3.2 Bohr magnetons per cell. The calculation puts the calculated volume at 23.53 Å³ per atom. The density of states at the Fermi level comes out at 2.65 states/eV/cell. Its density is 6.28 g cm⁻³.

abc: 4.9393 4.8808 4.8808
angles: 90.00 90.00 90.00
Site moments in Bohr magnetons follow the coordinates.
Sites, in units of the cell vectors:
F 0.5000 0.5000 0.5000  0.05
Sb 0.0000 0.0000 0.5000  -0.01
Sb 0.0000 0.5000 0.0000  -0.01
Mn 0.0000 0.0000 0.0000  2.69
Te 0.5000 0.0000 0.0000  0.23

9.
Below is MnSe2F at its PBEsol-relaxed geometry, with properties calculated at the meta-GGA SCAN level.

Calculated values
Its electronic total energy is -62.03 eV for the cell shown. The uncorrected formation energy comes out at -20 meV/atom. As for the total magnetization: 3.8 Bohr magnetons per cell. The calculation puts the calculated volume at 15.56 Å³ per atom. The density of states at the Fermi level comes out at 2.56 states/eV/cell. Its density is 6.19 g cm⁻³.

abc: 2.8538 2.8538 8.9762
angles: 80.85 80.85 60.00
Site moments in Bohr magnetons follow the coordinates.
Sites, in units of the cell vectors:
Se 0.0912 0.0912 0.7264  -0.03
Se 0.9088 0.9088 0.2736  -0.03
Mn 0.0000 0.0000 0.0000  3.67
F 0.5000 0.5000 0.5000  -0.04

10.
Below is Mn2SeF2 at its PBEsol-relaxed geometry, with properties calculated at the meta-GGA SCAN level.

Calculated values
Its electronic total energy is -73.35 eV for the cell shown. The uncorrected formation energy comes out at -1936 meV/atom. As for the total magnetization: 10.0 Bohr magnetons per cell. The calculation puts the calculated volume at 13.82 Å³ per atom. The density of states at the Fermi level comes out at 0.31 states/eV/cell. Its density is 5.45 g cm⁻³.

abc: 3.5287 3.5287 6.0844
angles: 106.86 106.86 90.00
Site moments in Bohr magnetons follow the coordinates.
Sites, in units of the cell vectors:
Mn 0.6327 0.6327 0.2654  4.58
Mn 0.3673 0.3673 0.7346  4.58
F 0.7500 0.2500 0.5000  0.10
F 0.2500 0.7500 0.5000  0.10
Se 0.0000 0.0000 0.0000  0.13

11.
Below is Mn3SnF at its PBEsol-relaxed geometry, with properties calculated at the meta-GGA SCAN level.

Calculated values
Its electronic total energy is -92.93 eV for the cell shown. The uncorrected formation energy comes out at 260 meV/atom. As for the total magnetization: 14.0 Bohr magnetons per cell. The calculation puts the calculated volume at 26.67 Å³ per atom. The density of states at the Fermi level comes out at 3.84 states/eV/cell. Its density is 3.77 g cm⁻³.

abc: 5.1086 5.1086 5.1086
angles: 90.00 90.00 90.00
Site moments in Bohr magnetons follow the coordinates.
Sites, in units of the cell vectors:
Mn 0.5000 0.0000 0.0000  4.36
Mn 0.0000 0.0000 0.5000  4.36
Mn 0.0000 0.5000 0.0000  4.36
F 0.5000 0.5000 0.5000  0.09
Sn 0.0000 0.0000 0.0000  -0.07

12.
Below is MnSn3F at its PBEsol-relaxed geometry, with properties calculated at the meta-GGA SCAN level.

Calculated values
Its electronic total energy is -131.89 eV for the cell shown. The uncorrected formation energy comes out at -466 meV/atom. As for the total magnetization: 0.0 Bohr magnetons per cell. The calculation puts the calculated volume at 22.21 Å³ per atom. Its density is 6.43 g cm⁻³.

abc: 4.8066 4.8066 4.8066
angles: 90.00 90.00 90.00
Sites, in units of the cell vectors:
Sn 0.0000 0.0000 0.5000
Sn 0.5000 0.0000 0.0000
Sn 0.0000 0.5000 0.0000
Mn 0.0000 0.0000 0.0000
F 0.5000 0.5000 0.5000